(1)
Computed, not measured: a relaxed NdTePbAuS2 crystal at the PBE level of DFT.

abc: 7.4067 7.4067 11.3273
angles: 90.00 90.00 147.59
With the nearest neighbours (Å) after each atom.
Sites, in units of the cell vectors:
Au: 0.5218 0.4782 0.2500  2 S 2.54, 2 Te 2.81
Au: 0.4782 0.5218 0.7500  2 S 2.54, 2 Te 2.81
Nd: 0.0000 0.0000 0.0000  4 S 2.87
Nd: 0.0000 0.0000 0.5000  4 S 2.87
Pb: 0.2039 0.7961 0.2500  4 S 3.09, 2 Au 3.31, 2 Te 3.33
Pb: 0.7961 0.2039 0.7500  4 S 3.09, 2 Au 3.31, 2 Te 3.33
S: 0.6283 0.3717 0.0705  1 Au 2.54
S: 0.6283 0.3717 0.4295  1 Au 2.54
S: 0.3717 0.6283 0.5705  1 Au 2.54
S: 0.3717 0.6283 0.9295  1 Au 2.54
Te: 0.8875 0.1125 0.2500  2 Au 2.81
Te: 0.1125 0.8875 0.7500  2 Au 2.81

Summary:
space-group type	No. 63
energy	-4.7399	eV per atom
ρ	7.38	Mg/m³

***

(2)
Computed, not measured: a relaxed CsNbAgTeSe2 crystal at the PBE level of DFT.

abc: 8.7641 8.7641 10.7578
angles: 90.00 90.00 154.44
With the nearest neighbours (Å) after each atom.
Sites, in units of the cell vectors:
Ag: 0.0420 0.9580 0.2500  2 Se 2.57, 2 Te 2.77
Ag: 0.9580 0.0420 0.7500  2 Se 2.57, 2 Te 2.77
Cs: 0.7340 0.2660 0.2500  6 Se 3.72-4.10, 2 Ag 3.81, 2 Te 3.82, 2 Cs 3.88
Cs: 0.2660 0.7340 0.7500  6 Se 3.72-4.10, 2 Ag 3.81, 2 Te 3.82, 2 Cs 3.88
Nb: 0.5000 0.5000 0.0000  4 Se 2.69, 2 Te 2.97
Nb: 0.5000 0.5000 0.5000  4 Se 2.69, 2 Te 2.97
Se: 0.1069 0.8931 0.0346  1 Ag 2.57, 2 Nb 2.69
Se: 0.1069 0.8931 0.4654  1 Ag 2.57, 2 Nb 2.69
Se: 0.8931 0.1069 0.5346  1 Ag 2.57, 2 Nb 2.69
Se: 0.8931 0.1069 0.9654  1 Ag 2.57, 2 Nb 2.69
Te: 0.4264 0.5736 0.2500  2 Ag 2.77, 2 Nb 2.97
Te: 0.5736 0.4264 0.7500  2 Ag 2.77, 2 Nb 2.97

Summary:
space-group type	No. 63
energy	-4.5587	eV per atom
ρ	5.77	Mg/m³

***

(3)
Computed, not measured: a relaxed CoCuBiAu crystal at the PBE level of DFT.

abc: 4.5744 4.5744 4.5744
angles: 60.00 60.00 60.00
With the nearest neighbours (Å) after each atom.
Sites, in units of the cell vectors:
Au: 0.5000 0.5000 0.5000  4 Co 2.80, 4 Cu 2.80
Bi: 0.0000 0.0000 0.0000  4 Co 2.80, 4 Cu 2.80
Co: 0.7500 0.7500 0.7500  4 Bi 2.80, 4 Au 2.80
Cu: 0.2500 0.2500 0.2500  4 Bi 2.80, 4 Au 2.80

Summary:
space-group type	No. 216
relative energy among the computed polymorphs	0.000	eV/f.u.
ρ	12.96	Mg/m³

***

(4)
Computed, not measured: a relaxed UInFe crystal at the PBE level of DFT.

abc: 4.4406 4.4406 4.4406
angles: 60.00 60.00 60.00
With the nearest neighbours (Å) after each atom.
Sites, in units of the cell vectors:
Fe: 0.0000 0.0000 0.0000  4 U 2.72, 4 In 2.72
In: 0.7500 0.7500 0.7500  4 Fe 2.72
U: 0.2500 0.2500 0.2500  4 Fe 2.72

Summary:
space-group type	No. 216
energy	-7.1186	eV per atom
ρ	10.96	Mg/m³

***

> Among the records above, which one has the lowest ρ?

CsNbAgTeSe2